Entry 1:
MnReIr6 after structural relaxation, computed with PBE-GGA.

Values from the calculation:
Density of states at the Fermi level = 5.0 states/eV per cell
DFT formation energy = -0.177 eV/atom
Total magnetization = 3.36 μB/f.u.
Space group = P4/mmm (123)

Unit cell a=3.8585 b=3.8585 c=7.7345 alpha=90.00 beta=90.00 gamma=90.00
With the nearest neighbours (Å) after each atom.
Fractional coordinates of all 8 atoms:
Mn 0.0000 0.0000 0.0000  12 Ir 2.73-2.75
Re 0.0000 0.0000 0.5000  12 Ir 2.72-2.73
Ir 0.0000 0.5000 0.2529  8 Ir 2.72-2.75, 2 Re 2.72, 2 Mn 2.75
Ir 0.0000 0.5000 0.7471  8 Ir 2.72-2.75, 2 Re 2.72, 2 Mn 2.75
Ir 0.5000 0.0000 0.2529  8 Ir 2.72-2.75, 2 Re 2.72, 2 Mn 2.75
Ir 0.5000 0.0000 0.7471  8 Ir 2.72-2.75, 2 Re 2.72, 2 Mn 2.75
Ir 0.5000 0.5000 0.0000  4 Mn 2.73, 8 Ir 2.75
Ir 0.5000 0.5000 0.5000  8 Ir 2.72, 4 Re 2.73

Entry 2:
Mn2ReIr after structural relaxation, computed with PBE-GGA.

Values from the calculation:
Density of states at the Fermi level = 21.1 states/eV per cell
DFT formation energy = 0.135 eV/atom
Total magnetization = 5.00 μB/f.u.
Space group = F-43m (216)

Unit cell a=6.0356 b=6.0356 c=6.0356 alpha=90.00 beta=90.00 gamma=90.00
With the nearest neighbours (Å) after each atom.
Fractional coordinates of all 16 atoms:
Mn 0.0000 0.0000 0.0000  4 Mn 2.61, 4 Ir 2.61
Mn 0.0000 0.5000 0.5000  4 Mn 2.61, 4 Ir 2.61
Mn 0.2500 0.2500 0.2500  4 Mn 2.61, 4 Re 2.61
Mn 0.2500 0.7500 0.7500  4 Mn 2.61, 4 Re 2.61
Mn 0.5000 0.0000 0.5000  4 Mn 2.61, 4 Ir 2.61
Mn 0.5000 0.5000 0.0000  4 Mn 2.61, 4 Ir 2.61
Mn 0.7500 0.2500 0.7500  4 Mn 2.61, 4 Re 2.61
Mn 0.7500 0.7500 0.2500  4 Mn 2.61, 4 Re 2.61
Re 0.0000 0.0000 0.5000  4 Mn 2.61, 4 Ir 2.61
Re 0.0000 0.5000 0.0000  4 Mn 2.61, 4 Ir 2.61
Re 0.5000 0.0000 0.0000  4 Mn 2.61, 4 Ir 2.61
Re 0.5000 0.5000 0.5000  4 Mn 2.61, 4 Ir 2.61
Ir 0.2500 0.2500 0.7500  4 Mn 2.61, 4 Re 2.61
Ir 0.2500 0.7500 0.2500  4 Mn 2.61, 4 Re 2.61
Ir 0.7500 0.2500 0.2500  4 Mn 2.61, 4 Re 2.61
Ir 0.7500 0.7500 0.7500  4 Mn 2.61, 4 Re 2.61

Entry 3:
Mn2ReIr after structural relaxation, computed with PBE-GGA.

Values from the calculation:
Density of states at the Fermi level = 9.1 states/eV per cell
DFT formation energy = 0.014 eV/atom
Total magnetization = 2.30 μB/f.u.
Space group = C2/m (12)

Unit cell a=8.6393 b=2.6597 c=4.6610 alpha=90.00 beta=100.02 gamma=90.00
With the nearest neighbours (Å) after each atom.
Fractional coordinates of all 8 atoms:
Mn 0.2481 0.0000 0.2496  3 Re 2.61-2.64, 3 Ir 2.62-2.64, 6 Mn 2.66-2.68
Mn 0.2519 0.5000 0.7504  3 Re 2.61-2.64, 3 Ir 2.62-2.64, 6 Mn 2.66-2.68
Mn 0.7481 0.5000 0.2496  3 Re 2.61-2.64, 3 Ir 2.62-2.64, 6 Mn 2.66-2.68
Mn 0.7519 0.0000 0.7504  3 Re 2.61-2.64, 3 Ir 2.62-2.64, 6 Mn 2.66-2.68
Re 0.0000 0.0000 0.5000  6 Mn 2.61-2.64, 2 Re 2.66, 4 Ir 2.68
Re 0.5000 0.5000 0.5000  6 Mn 2.61-2.64, 2 Re 2.66, 4 Ir 2.68
Ir 0.0000 0.5000 0.0000  6 Mn 2.62-2.64, 2 Ir 2.66, 4 Re 2.68
Ir 0.5000 0.0000 0.0000  6 Mn 2.62-2.64, 2 Ir 2.66, 4 Re 2.68

Entry 4:
Mn2ReIr after structural relaxation, computed with PBE-GGA.

Values from the calculation:
Density of states at the Fermi level = 8.3 states/eV per cell
DFT formation energy = -0.045 eV/atom
Total magnetization = 1.98 μB/f.u.
Space group = I4/mmm (139)

Unit cell a=3.7735 b=3.7735 c=7.3282 alpha=90.00 beta=90.00 gamma=90.00
With the nearest neighbours (Å) after each atom.
Fractional coordinates of all 8 atoms:
Mn 0.0000 0.5000 0.2500  4 Re 2.63, 4 Ir 2.63, 4 Mn 2.67
Mn 0.0000 0.5000 0.7500  4 Re 2.63, 4 Ir 2.63, 4 Mn 2.67
Mn 0.5000 0.0000 0.2500  4 Re 2.63, 4 Ir 2.63, 4 Mn 2.67
Mn 0.5000 0.0000 0.7500  4 Re 2.63, 4 Ir 2.63, 4 Mn 2.67
Re 0.0000 0.0000 0.0000  8 Mn 2.63, 4 Ir 2.67
Re 0.5000 0.5000 0.5000  8 Mn 2.63, 4 Ir 2.67
Ir 0.0000 0.0000 0.5000  8 Mn 2.63, 4 Re 2.67
Ir 0.5000 0.5000 0.0000  8 Mn 2.63, 4 Re 2.67

Entry 5:
MnRe2Ir after structural relaxation, computed with PBE-GGA.

Values from the calculation:
Density of states at the Fermi level = 7.0 states/eV per cell
DFT formation energy = 0.028 eV/atom
Total magnetization = 0.00 μB/f.u.
Space group = R-3m (166)

Unit cell a=2.7202 b=2.7202 c=26.2126 alpha=90.00 beta=90.00 gamma=120.00
With the nearest neighbours (Å) after each atom.
Fractional coordinates of all 12 atoms:
Mn 0.0000 0.0000 0.0000  6 Re 2.62, 6 Mn 2.72
Mn 0.3333 0.6667 0.6667  6 Re 2.62, 6 Mn 2.72
Mn 0.6667 0.3333 0.3333  6 Re 2.62, 6 Mn 2.72
Re 0.0000 0.0000 0.2532  3 Mn 2.62, 6 Re 2.72, 3 Ir 2.76
Re 0.0000 0.0000 0.7468  3 Mn 2.62, 6 Re 2.72, 3 Ir 2.76
Re 0.3333 0.6667 0.4134  3 Mn 2.62, 6 Re 2.72, 3 Ir 2.76
Re 0.3333 0.6667 0.9199  3 Mn 2.62, 6 Re 2.72, 3 Ir 2.76
Re 0.6667 0.3333 0.0801  3 Mn 2.62, 6 Re 2.72, 3 Ir 2.76
Re 0.6667 0.3333 0.5866  3 Mn 2.62, 6 Re 2.72, 3 Ir 2.76
Ir 0.0000 0.0000 0.5000  6 Ir 2.72, 6 Re 2.76
Ir 0.3333 0.6667 0.1667  6 Ir 2.72, 6 Re 2.76
Ir 0.6667 0.3333 0.8333  6 Ir 2.72, 6 Re 2.76

Entry 6:
MnRe2Ir after structural relaxation, computed with PBE-GGA.

Values from the calculation:
Density of states at the Fermi level = 4.4 states/eV per cell
DFT formation energy = -0.033 eV/atom
Total magnetization = 1.75 μB/f.u.
Space group = Pmm2 (25)

Unit cell a=2.7133 b=3.8263 c=5.4517 alpha=90.00 beta=90.00 gamma=90.00
With the nearest neighbours (Å) after each atom.
Fractional coordinates of all 4 atoms:
Mn 0.0000 0.0000 0.0000  6 Re 2.68-2.73, 4 Ir 2.69, 2 Mn 2.71
Re 0.0000 0.0000 0.5010  6 Re 2.71-2.75, 2 Mn 2.72-2.73, 4 Ir 2.73
Re 0.5000 0.5000 0.2388  2 Ir 2.63-2.82, 4 Mn 2.68, 6 Re 2.71-2.75
Ir 0.5000 0.5000 0.7567  6 Re 2.63-2.82, 4 Mn 2.69, 2 Ir 2.71

Entry 7:
MnRe2Ir after structural relaxation, computed with PBE-GGA.

Values from the calculation:
Density of states at the Fermi level = 4.6 states/eV per cell
DFT formation energy = 0.272 eV/atom
Total magnetization = 2.43 μB/f.u.
Space group = P4/mmm (123)

Unit cell a=4.5872 b=4.5872 c=2.7589 alpha=90.00 beta=90.00 gamma=90.00
With the nearest neighbours (Å) after each atom.
Fractional coordinates of all 4 atoms:
Mn 0.0000 0.0000 0.0000  8 Re 2.68, 2 Mn 2.76
Re 0.0000 0.5000 0.5000  4 Ir 2.68, 4 Mn 2.68, 2 Re 2.76
Re 0.5000 0.0000 0.5000  4 Ir 2.68, 4 Mn 2.68, 2 Re 2.76
Ir 0.5000 0.5000 0.0000  8 Re 2.68, 2 Ir 2.76

Entry 8:
MnRe2Ir after structural relaxation, computed with PBE-GGA.

Values from the calculation:
Density of states at the Fermi level = 14.2 states/eV per cell
DFT formation energy = 0.582 eV/atom
Total magnetization = 3.09 μB/f.u.
Space group = I-42d (122)

Unit cell a=3.7176 b=3.7176 c=18.3248 alpha=90.00 beta=90.00 gamma=90.00
With the nearest neighbours (Å) after each atom.
Fractional coordinates of all 16 atoms:
Mn 0.0000 0.0000 0.0000  4 Re 2.60, 4 Ir 2.63
Mn 0.0000 0.5000 0.2500  4 Re 2.60, 4 Ir 2.63
Mn 0.5000 0.0000 0.7500  4 Re 2.60, 4 Ir 2.63
Mn 0.5000 0.5000 0.5000  4 Re 2.60, 4 Ir 2.63
Re 0.2207 0.2500 0.1250  2 Re 2.48, 2 Mn 2.60, 2 Ir 2.68
Re 0.2500 0.7207 0.3750  2 Re 2.48, 2 Mn 2.60, 2 Ir 2.68
Re 0.2500 0.7793 0.8750  2 Re 2.48, 2 Mn 2.60, 2 Ir 2.68
Re 0.2793 0.2500 0.6250  2 Re 2.48, 2 Mn 2.60, 2 Ir 2.68
Re 0.7207 0.7500 0.6250  2 Re 2.48, 2 Mn 2.60, 2 Ir 2.68
Re 0.7500 0.2207 0.8750  2 Re 2.48, 2 Mn 2.60, 2 Ir 2.68
Re 0.7500 0.2793 0.3750  2 Re 2.48, 2 Mn 2.60, 2 Ir 2.68
Re 0.7793 0.7500 0.1250  2 Re 2.48, 2 Mn 2.60, 2 Ir 2.68
Ir 0.0000 0.0000 0.5000  4 Mn 2.63, 4 Re 2.68
Ir 0.0000 0.5000 0.7500  4 Mn 2.63, 4 Re 2.68
Ir 0.5000 0.0000 0.2500  4 Mn 2.63, 4 Re 2.68
Ir 0.5000 0.5000 0.0000  4 Mn 2.63, 4 Re 2.68

Entry 9:
MnReIr2 after structural relaxation, computed with PBE-GGA.

Values from the calculation:
Density of states at the Fermi level = 6.9 states/eV per cell
DFT formation energy = -0.175 eV/atom
Total magnetization = 1.85 μB/f.u.
Space group = I4/mmm (139)

Unit cell a=3.8457 b=3.8457 c=7.5895 alpha=90.00 beta=90.00 gamma=90.00
With the nearest neighbours (Å) after each atom.
Fractional coordinates of all 8 atoms:
Mn 0.0000 0.0000 0.0000  8 Ir 2.70, 4 Re 2.72
Mn 0.5000 0.5000 0.5000  8 Ir 2.70, 4 Re 2.72
Re 0.0000 0.0000 0.5000  8 Ir 2.70, 4 Mn 2.72
Re 0.5000 0.5000 0.0000  8 Ir 2.70, 4 Mn 2.72
Ir 0.0000 0.5000 0.2500  4 Mn 2.70, 4 Re 2.70, 4 Ir 2.72
Ir 0.0000 0.5000 0.7500  4 Mn 2.70, 4 Re 2.70, 4 Ir 2.72
Ir 0.5000 0.0000 0.2500  4 Mn 2.70, 4 Re 2.70, 4 Ir 2.72
Ir 0.5000 0.0000 0.7500  4 Mn 2.70, 4 Re 2.70, 4 Ir 2.72

Entry 10:
Mn2ReIr2 after structural relaxation, computed with PBE-GGA.

Values from the calculation:
Density of states at the Fermi level = 11.1 states/eV per cell
DFT formation energy = 0.127 eV/atom
Total magnetization = 0.00 μB/f.u.
Space group = P4/mbm (127)

Unit cell a=7.1225 b=7.1225 c=2.6741 alpha=90.00 beta=90.00 gamma=90.00
With the nearest neighbours (Å) after each atom.
Fractional coordinates of all 10 atoms:
Mn 0.1705 0.3295 0.0000  6 Ir 2.43-2.53, 2 Mn 2.67
Mn 0.3295 0.8295 0.0000  6 Ir 2.43-2.53, 2 Mn 2.67
Mn 0.6705 0.1705 0.0000  6 Ir 2.43-2.53, 2 Mn 2.67
Mn 0.8295 0.6705 0.0000  6 Ir 2.43-2.53, 2 Mn 2.67
Re 0.0000 0.0000 0.5000  2 Re 2.67, 4 Ir 2.80, 8 Mn 2.96
Re 0.5000 0.5000 0.5000  2 Re 2.67, 4 Ir 2.80, 8 Mn 2.96
Ir 0.1280 0.6280 0.5000  6 Mn 2.43-2.53, 3 Ir 2.58-2.67
Ir 0.3720 0.1280 0.5000  6 Mn 2.43-2.53, 3 Ir 2.58-2.67
Ir 0.6280 0.8720 0.5000  6 Mn 2.43-2.53, 3 Ir 2.58-2.67
Ir 0.8720 0.3720 0.5000  6 Mn 2.43-2.53, 3 Ir 2.58-2.67